Sb4Br2O5, PBEsol geometry, DFT meta-GGA SCAN; DOS at the Fermi energy = 0.0 states/eV/f.u.; spin magnetization = 0.00 μB per formula unit; raw formation energy = -13.676 eV/f.u.; volume = 20.5 A^3/atom; VASP energy = -465.59 eV for the cell shown; SG = P2_1/c
1.0
6.5089 0.0000 0.0000
0.0000 5.1597 0.0000
-1.6697 0.0000 13.4266
Sb Br O
8 4 10
Direct
0.1799 0.2221 0.0529
0.1799 0.2779 0.5529
0.1996 0.6143 0.2978
0.1996 0.8857 0.7978
0.8004 0.1143 0.2022
0.8004 0.3857 0.7022
0.8201 0.7221 0.4471
0.8201 0.7779 0.9471
0.4948 0.2056 0.3822
0.4948 0.2944 0.8822
0.5052 0.7056 0.1178
0.5052 0.7944 0.6178
0.0000 0.0000 0.5000
0.0000 0.5000 0.0000
0.0692 0.0090 0.9181
0.0692 0.4910 0.4181
0.0740 0.1687 0.7089
0.0740 0.3313 0.2089
0.9260 0.6687 0.7911
0.9260 0.8313 0.2911
0.9308 0.5090 0.5819
0.9308 0.9910 0.0819